First-principles (PBE) data for a geometry-optimized Pr8Ag2Pd structure, as listed in the Alexandria database.

Geometry as extended XYZ:
```
11
Lattice="9.227 -2.650 0.000 9.227 2.650 0.000 -1.479 0.000 6.952" Properties=species:S:1:pos:R:3 pbc="T T T"
Pr 0.040 0.000 1.920
Pr 2.474 0.000 5.761
Pr 5.501 0.000 3.653
Pr 7.505 0.000 0.340
Pr 9.468 0.000 6.611
Pr 11.473 0.000 3.298
Pr 14.500 0.000 1.190
Pr 16.934 0.000 5.032
Ag 3.122 0.000 1.704
Ag 13.852 0.000 5.248
Pd 8.487 0.000 3.476
```

DOS(E_F) (states/eV per cell): 12.31
Total energy (eV per atom): -4.65
ΔE_f (eV per atom): -0.18
Total magnetization (μB/f.u.): 0.0
Density (Mg/m³): 7.1